Record 1
A plane-wave DFT calculation with PBE was carried out for crystalline BaLiNdMg at its relaxed geometry.

```
4
Lattice="5.824 0.000 0.000 2.912 5.043 0.000 2.912 1.681 4.755" Properties=species:S:1:pos:R:3 pbc="T T T"
Ba 8.736 5.043 3.566
Li 0.000 0.000 0.000
Nd 2.912 1.681 1.189
Mg 5.824 3.362 2.378
```

Summary:
formation energy from the elements: 104 meV per atom
N(E_F): 1.172 states/eV per atom
space group: F-43m (216)

Record 2
A plane-wave DFT calculation with PBE was carried out for crystalline InHg4H at its relaxed geometry.

```
6
Lattice="-1.460 -2.372 1.806 -1.332 -1.770 -3.401 9.252 -4.525 1.539" Properties=species:S:1:pos:R:3 pbc="T T T"
Hg 2.297 -2.077 -0.871
In 3.896 -3.448 1.673
Hg -0.730 -3.160 -1.689
Hg 7.190 -5.506 1.633
Hg 5.624 -4.217 -0.991
H -0.666 -0.885 -1.700
```

Summary:
N(E_F): 0.318 states/eV per atom
space group: P2/m (10)

Record 3
A plane-wave DFT calculation with PBE was carried out for crystalline PmTmAs2Rh5 at its relaxed geometry.

```
9
Lattice="4.261 0.000 0.000 0.000 4.261 0.000 0.000 0.000 8.782" Properties=species:S:1:pos:R:3 pbc="T T T"
Rh 2.131 2.131 4.391
As 2.131 2.131 1.270
Rh 2.131 0.000 6.483
Rh 0.000 2.131 2.299
Rh 2.131 0.000 2.299
As 2.131 2.131 7.512
Tm 0.000 0.000 0.000
Pm 0.000 0.000 4.391
Rh 0.000 2.131 6.483
```

Summary:
formation energy from the elements: -742 meV per atom
N(E_F): 0.453 states/eV per atom
space group: P4/mmm (123)

Record 4
A plane-wave DFT calculation with PBE was carried out for crystalline NaDyPb4 at its relaxed geometry.

```
6
Lattice="-2.959 0.699 5.697 -2.075 -5.199 3.220 2.975 -1.835 5.430" Properties=species:S:1:pos:R:3 pbc="T T T"
Pb -0.245 -1.350 7.358
Na -0.515 -1.584 3.587
Pb 0.199 -4.316 6.112
Pb -2.785 -3.042 6.247
Pb -1.289 -3.965 8.978
Dy 0.000 0.000 0.000
```

Summary:
formation energy from the elements: -80 meV per atom
N(E_F): 0.780 states/eV per atom
space group: F-43m (216)

no.,E_tot (Ry/atom)
1,-0.1798
2,-0.0734
3,-0.5060
4,-0.2602